DFT (PBE) results for a relaxed GdCdSeO crystal.

Geometry as POSCAR:
```
GdCdSeO
1.0
-4.972 -4.190 8.715
-0.922 -6.419 8.728
-1.241 -2.194 10.577
O Se Cd Gd
2 2 2 2
direct
0.297 0.297 0.297 O
0.703 0.703 0.703 O
0.128 0.128 0.128 Se
0.872 0.872 0.872 Se
0.632 0.632 0.632 Cd
0.368 0.368 0.368 Cd
0.770 0.770 0.770 Gd
0.230 0.230 0.230 Gd
```

Properties
**Energy**: -0.3587 Ry per atom
**Volume**: 195 Å³ per cell
**Symmetry**: R-3m (166)